1.
A geometry-optimized Cu2SiSb structure. Source: Alexandria via LeMat-Bulk, functional PBE-GGA.

It has space group C2/m (No. 12), with a = 7.756 Å, b = 3.089 Å, c = 5.663 Å, α = 90.00°, β = 102.72° and γ = 90.00°. The asymmetric unit holds Cu at (0.238, 0.000, 0.184), Si at (0.000, 0.500, 0.000) and Sb at (0.000, 0.000, 0.500).

The mass density comes out at 6.95 g cm⁻³. The formation energy (no corrections) comes out at 0.15 eV/atom. The density of states at the Fermi level is 0.323 states/eV per atom. The value obtained for the uncorrected energy is -4.284 eV/atom. Its magnetization is 0.000 Bohr magnetons per cell.

***

2.
A geometry-optimized Cu3SiSb structure. Source: Alexandria via LeMat-Bulk, functional PBE-GGA.

It has space group Pm-3m (No. 221), with a = 4.812 Å, b = 4.812 Å, c = 4.812 Å, α = 90.00°, β = 90.00° and γ = 90.00°. The asymmetric unit holds Cu at (0.000, 0.000, 0.500), Si at (0.500, 0.500, 0.500) and Sb at (0.000, 0.000, 0.000).

The mass density comes out at 5.07 g cm⁻³. The formation energy (no corrections) comes out at 0.99 eV/atom. The density of states at the Fermi level is 0.588 states/eV per atom. The value obtained for the uncorrected energy is -3.381 eV/atom. Its magnetization is 0.000 Bohr magnetons per cell.

***

3.
A geometry-optimized CuSiSb2 structure. Source: Alexandria via LeMat-Bulk, functional PBE-GGA.

It has space group Cmmm (No. 65), with a = 4.108 Å, b = 5.249 Å, c = 7.732 Å, α = 90.00°, β = 90.00° and γ = 90.00°. The asymmetric unit holds Cu at (0.000, 0.000, 0.000), Si at (0.000, 0.000, 0.500) and Sb at (0.000, 0.500, 0.237).

The mass density comes out at 6.67 g cm⁻³. The formation energy (no corrections) comes out at 0.43 eV/atom. The density of states at the Fermi level is 0.428 states/eV per atom. The value obtained for the uncorrected energy is -4.013 eV/atom. Its magnetization is 0.000 Bohr magnetons per cell.

***

4.
A geometry-optimized Cu2SiSb structure. Source: Alexandria via LeMat-Bulk, functional PBE-GGA.

It has space group Cm (No. 8), with a = 8.053 Å, b = 3.144 Å, c = 5.467 Å, α = 90.00°, β = 101.28° and γ = 90.00°. The asymmetric unit holds Cu at (0.000, 0.000, 0.000), Cu at (0.241, 0.500, 0.211), Si at (0.471, 0.000, 0.339) and Sb at (0.247, 0.000, 0.725).

The mass density comes out at 6.77 g cm⁻³. The formation energy (no corrections) comes out at 0.20 eV/atom. The density of states at the Fermi level is 0.310 states/eV per atom. The value obtained for the uncorrected energy is -4.237 eV/atom. Its magnetization is 0.000 Bohr magnetons per cell.

***

5.
A geometry-optimized CuSiSb2 structure. Source: Alexandria via LeMat-Bulk, functional PBE-GGA.

It has space group Cmm2 (No. 35), with a = 4.339 Å, b = 4.350 Å, c = 8.965 Å, α = 90.00°, β = 90.00° and γ = 90.00°. The asymmetric unit holds Cu at (0.000, 0.000, 0.000), Si at (0.000, 0.500, 0.851), Sb at (0.000, 0.000, 0.585) and Sb at (0.000, 0.500, 0.232).

The mass density comes out at 6.58 g cm⁻³. The formation energy (no corrections) comes out at 0.32 eV/atom. The density of states at the Fermi level is 0.326 states/eV per atom. The value obtained for the uncorrected energy is -4.116 eV/atom. Its magnetization is 0.000 Bohr magnetons per cell.

***

6.
A geometry-optimized Cu2Si2Sb structure. Source: Alexandria via LeMat-Bulk, functional PBE-GGA.

It has space group I4/mmm (No. 139), with a = 4.010 Å, b = 4.010 Å, c = 10.216 Å, α = 90.00°, β = 90.00° and γ = 90.00°. The asymmetric unit holds Cu at (0.000, 0.500, 0.250), Si at (0.000, 0.000, 0.115) and Sb at (0.000, 0.000, 0.500).

The mass density comes out at 6.17 g cm⁻³. The formation energy (no corrections) comes out at 0.20 eV/atom. The density of states at the Fermi level is 0.326 states/eV per atom. The value obtained for the uncorrected energy is -4.431 eV/atom. Its magnetization is 0.000 Bohr magnetons per cell.

***

7.
A geometry-optimized CuSiSb2 structure. Source: Alexandria via LeMat-Bulk, functional PBE-GGA.

It has space group P4/mmm (No. 123), with a = 5.282 Å, b = 5.282 Å, c = 2.979 Å, α = 90.00°, β = 90.00° and γ = 90.00°. The asymmetric unit holds Cu at (0.000, 0.000, 0.000), Si at (0.500, 0.500, 0.000) and Sb at (0.000, 0.500, 0.500).

The mass density comes out at 6.70 g cm⁻³. The formation energy (no corrections) comes out at 0.44 eV/atom. The density of states at the Fermi level is 0.461 states/eV per atom. The value obtained for the uncorrected energy is -3.999 eV/atom. Its magnetization is 0.000 Bohr magnetons per cell.

***

8.
A geometry-optimized CuSiSb2 structure. Source: Alexandria via LeMat-Bulk, functional PBE-GGA.

It has space group Cm (No. 8), with a = 6.772 Å, b = 4.001 Å, c = 6.693 Å, α = 90.00°, β = 110.39° and γ = 90.00°. The asymmetric unit holds Cu at (0.000, 0.000, 0.000), Si at (0.219, 0.500, 0.158), Sb at (0.258, 0.000, 0.769) and Sb at (0.468, 0.000, 0.420).

The mass density comes out at 6.55 g cm⁻³. The formation energy (no corrections) comes out at 0.21 eV/atom. The density of states at the Fermi level is 0.294 states/eV per atom. The value obtained for the uncorrected energy is -4.231 eV/atom. Its magnetization is 0.000 Bohr magnetons per cell.

***

9.
A geometry-optimized CuSiSb structure. Source: Alexandria via LeMat-Bulk, functional PBE-GGA.

It has space group Fmm2 (No. 42), with a = 4.144 Å, b = 4.441 Å, c = 12.363 Å, α = 90.00°, β = 90.00° and γ = 90.00°. The asymmetric unit holds Cu at (0.000, 0.000, 0.000), Si at (0.000, 0.000, 0.607) and Sb at (0.000, 0.000, 0.329).

The mass density comes out at 6.23 g cm⁻³. The formation energy (no corrections) comes out at 0.36 eV/atom. The density of states at the Fermi level is 0.416 states/eV per atom. The value obtained for the uncorrected energy is -4.184 eV/atom. Its magnetization is 0.000 Bohr magnetons per cell.

***

10.
A geometry-optimized CuSi4Sb2 structure. Source: Alexandria via LeMat-Bulk, functional PBE-GGA.

It has space group I4/mmm (No. 139), with a = 4.434 Å, b = 4.434 Å, c = 14.989 Å, α = 90.00°, β = 90.00° and γ = 90.00°. The asymmetric unit holds Cu at (0.000, 0.000, 0.000), Si at (0.000, 0.000, 0.162), Si at (0.000, 0.500, 0.000) and Sb at (0.000, 0.000, 0.349).

The mass density comes out at 4.73 g cm⁻³. The formation energy (no corrections) comes out at 0.62 eV/atom. The density of states at the Fermi level is 0.646 states/eV per atom. The value obtained for the uncorrected energy is -4.244 eV/atom. Its magnetization is 0.000 Bohr magnetons per cell.

***

11.
A geometry-optimized CuSiSb2 structure. Source: Alexandria via LeMat-Bulk, functional PBE-GGA.

It has space group C2/m (No. 12), with a = 6.659 Å, b = 7.461 Å, c = 3.378 Å, α = 90.00°, β = 99.84° and γ = 90.00°. The asymmetric unit holds Cu at (0.000, 0.000, 0.000), Si at (0.000, 0.500, 0.000) and Sb at (0.250, 0.250, 0.500).

The mass density comes out at 6.73 g cm⁻³. The formation energy (no corrections) comes out at 0.43 eV/atom. The density of states at the Fermi level is 0.425 states/eV per atom. The value obtained for the uncorrected energy is -4.008 eV/atom. Its magnetization is 0.000 Bohr magnetons per cell.

***

12.
A geometry-optimized Cu2Si2Sb structure. Source: Alexandria via LeMat-Bulk, functional PBE-GGA.

It has space group I4/mmm (No. 139), with a = 3.747 Å, b = 3.747 Å, c = 11.526 Å, α = 90.00°, β = 90.00° and γ = 90.00°. The asymmetric unit holds Cu at (0.000, 0.000, 0.110), Si at (0.000, 0.500, 0.250) and Sb at (0.000, 0.000, 0.500).

The mass density comes out at 6.26 g cm⁻³. The formation energy (no corrections) comes out at 0.19 eV/atom. The density of states at the Fermi level is 0.276 states/eV per atom. The value obtained for the uncorrected energy is -4.446 eV/atom. Its magnetization is 0.000 Bohr magnetons per cell.

***

13.
A geometry-optimized Cu2SiSb structure. Source: Alexandria via LeMat-Bulk, functional PBE-GGA.

It has space group I-42d (No. 122), with a = 4.305 Å, b = 4.305 Å, c = 15.605 Å, α = 90.00°, β = 90.00° and γ = 90.00°. The asymmetric unit holds Cu at (0.163, 0.250, 0.125), Si at (0.000, 0.000, 0.000) and Sb at (0.000, 0.000, 0.500).

The mass density comes out at 6.36 g cm⁻³. The formation energy (no corrections) comes out at 0.16 eV/atom. The density of states at the Fermi level is 0.537 states/eV per atom. The value obtained for the uncorrected energy is -4.278 eV/atom. Its magnetization is 0.000 Bohr magnetons per cell.

***

14.
A geometry-optimized Cu2SiSb2 structure. Source: Alexandria via LeMat-Bulk, functional PBE-GGA.

It has space group P4/mbm (No. 127), with a = 6.792 Å, b = 6.792 Å, c = 4.059 Å, α = 90.00°, β = 90.00° and γ = 90.00°. The asymmetric unit holds Cu at (0.131, 0.369, 0.000), Si at (0.000, 0.000, 0.000) and Sb at (0.177, 0.677, 0.500).

The mass density comes out at 7.07 g cm⁻³. The formation energy (no corrections) comes out at 0.32 eV/atom. The density of states at the Fermi level is 0.429 states/eV per atom. The value obtained for the uncorrected energy is -4.057 eV/atom. Its magnetization is 0.000 Bohr magnetons per cell.

***

15.
A geometry-optimized CuSiSb2 structure. Source: Alexandria via LeMat-Bulk, functional PBE-GGA.

It has space group I-42d (No. 122), with a = 6.043 Å, b = 6.043 Å, c = 11.661 Å, α = 90.00°, β = 90.00° and γ = 90.00°. The asymmetric unit holds Cu at (0.000, 0.000, 0.000), Si at (0.000, 0.000, 0.500) and Sb at (0.239, 0.250, 0.125).

The mass density comes out at 5.23 g cm⁻³. The formation energy (no corrections) comes out at 0.16 eV/atom. The density of states at the Fermi level is 0.472 states/eV per atom. The value obtained for the uncorrected energy is -4.285 eV/atom. Its magnetization is 0.000 Bohr magnetons per cell.

***

16.
A geometry-optimized Cu2SiSb structure. Source: Alexandria via LeMat-Bulk, functional PBE-GGA.

It has space group P4mm (No. 99), with a = 3.050 Å, b = 3.050 Å, c = 7.231 Å, α = 90.00°, β = 90.00° and γ = 90.00°. The asymmetric unit holds Cu at (0.000, 0.000, 0.000), Cu at (0.500, 0.500, 0.192), Si at (0.500, 0.500, 0.826) and Sb at (0.000, 0.000, 0.454).

The mass density comes out at 6.84 g cm⁻³. The formation energy (no corrections) comes out at 0.24 eV/atom. The density of states at the Fermi level is 0.536 states/eV per atom. The value obtained for the uncorrected energy is -4.194 eV/atom. Its magnetization is 0.000 Bohr magnetons per cell.

***

17.
A geometry-optimized CuSiSb4 structure. Source: Alexandria via LeMat-Bulk, functional PBE-GGA.

It has space group F-43m (No. 216), with a = 8.644 Å, b = 8.644 Å, c = 8.644 Å, α = 90.00°, β = 90.00° and γ = 90.00°. The asymmetric unit holds Cu at (0.000, 0.000, 0.000), Si at (0.250, 0.250, 0.250) and Sb at (0.125, 0.125, 0.625).

The mass density comes out at 5.95 g cm⁻³. The formation energy (no corrections) comes out at 0.80 eV/atom. The density of states at the Fermi level is 0.361 states/eV per atom. The value obtained for the uncorrected energy is -3.539 eV/atom. Its magnetization is 0.000 Bohr magnetons per cell.

***

18.
A geometry-optimized CuSiSb2 structure. Source: Alexandria via LeMat-Bulk, functional PBE-GGA.

It has space group I-4m2 (No. 119), with a = 4.023 Å, b = 4.023 Å, c = 10.381 Å, α = 90.00°, β = 90.00° and γ = 90.00°. The asymmetric unit holds Cu at (0.000, 0.000, 0.000), Si at (0.000, 0.500, 0.250), Sb at (0.000, 0.000, 0.500) and Sb at (0.000, 0.500, 0.750).

The mass density comes out at 6.62 g cm⁻³. The formation energy (no corrections) comes out at 0.46 eV/atom. The density of states at the Fermi level is 0.509 states/eV per atom. The value obtained for the uncorrected energy is -3.977 eV/atom. Its magnetization is 0.000 Bohr magnetons per cell.

***

19.
A geometry-optimized Cu2Si2Sb structure. Source: Alexandria via LeMat-Bulk, functional PBE-GGA.

It has space group P4/mbm (No. 127), with a = 7.308 Å, b = 7.308 Å, c = 3.022 Å, α = 90.00°, β = 90.00° and γ = 90.00°. The asymmetric unit holds Cu at (0.133, 0.367, 0.000), Si at (0.149, 0.649, 0.500) and Sb at (0.000, 0.000, 0.000).

The mass density comes out at 6.28 g cm⁻³. The formation energy (no corrections) comes out at 0.32 eV/atom. The density of states at the Fermi level is 0.272 states/eV per atom. The value obtained for the uncorrected energy is -4.308 eV/atom. Its magnetization is 0.000 Bohr magnetons per cell.

***

20.
A geometry-optimized Cu2SiSb structure. Source: Alexandria via LeMat-Bulk, functional PBE-GGA.

It has space group Pmmm (No. 47), with a = 2.960 Å, b = 3.623 Å, c = 6.196 Å, α = 90.00°, β = 90.00° and γ = 90.00°. The asymmetric unit holds Cu at (0.000, 0.000, 0.199), Si at (0.500, 0.500, 0.000) and Sb at (0.500, 0.500, 0.500).

The mass density comes out at 6.92 g cm⁻³. The formation energy (no corrections) comes out at 0.29 eV/atom. The density of states at the Fermi level is 0.364 states/eV per atom. The value obtained for the uncorrected energy is -4.145 eV/atom. Its magnetization is 0.000 Bohr magnetons per cell.